No. 1
A plane-wave DFT calculation with GGA-PBE was carried out for Pm6Sm2Hg after structural relaxation.

Lattice parameters (Å, degrees): 3.6293 10.4183 9.6684 122.60 100.86 90.00
Positions (direct):
Hg  0.0000  0.0000  0.0000
Pm  0.8200  0.6607  0.6394
Pm  0.5000  0.2777  0.0000
Sm  0.1454  0.6440  0.2881
Pm  0.1800  0.0213  0.3606
Pm  0.8200  0.9787  0.6394
Pm  0.5000  0.7223  0.0000
Pm  0.1800  0.3393  0.3606
Sm  0.8546  0.3560  0.7119

The calculation puts the calculated formation energy at -0.005 eV per atom. For the relative energy among the computed polymorphs, the calculation gives 93 meV per atom. As for the volume: 33.4 A^3/atom. The symmetry is No. 12.

=====

No. 2
A plane-wave DFT calculation with GGA-PBE was carried out for Ag2TeBr8 after structural relaxation.

Lattice parameters (Å, degrees): 7.2061 8.2709 8.2709 90.66 72.20 72.20
Positions (direct):
Ag  0.3856  0.1510  0.1510
Br  0.8130  0.0862  0.7565
Br  0.3332  0.7603  0.7603
Br  0.8233  0.5783  0.5783
Br  0.8130  0.7565  0.0862
Br  0.1767  0.4217  0.4217
Br  0.1870  0.9138  0.2435
Br  0.6668  0.2397  0.2397
Br  0.1870  0.2435  0.9138
Te  0.0000  0.0000  0.0000
Ag  0.6144  0.8490  0.8490

As for the volume: 40.4 A^3/atom. The formation energy without anion corrections is -266 kJ/mol of formula units. The symmetry is No. 12.

=====

No. 3
A plane-wave DFT calculation with GGA-PBE was carried out for CdNiAu3 after structural relaxation.

Lattice parameters (Å, degrees): 4.7851 4.7851 4.7851 90.00 90.00 90.00
Positions (direct):
Au  0.5000  0.0000  0.0000
Ni  0.0000  0.0000  0.0000
Au  0.0000  0.5000  0.0000
Cd  0.5000  0.5000  0.5000
Au  0.0000  0.0000  0.5000

The calculation puts the calculated formation energy at 0.484 eV per atom. For the relative energy among the computed polymorphs, the calculation gives 0 meV per atom. As for the volume: 21.9 A^3/atom. The symmetry is No. 221.

=====

No. 4
A plane-wave DFT calculation with GGA-PBE was carried out for AgHg2Au after structural relaxation.

Lattice parameters (Å, degrees): 4.2842 4.4765 4.2222 90.00 90.00 90.00
Positions (direct):
Hg  0.5000  0.5000  0.0000
Ag  0.5000  0.0000  0.5000
Au  0.0000  0.5000  0.5000
Hg  0.0000  0.0000  0.0000

The calculation puts the calculated formation energy at 0.095 eV per atom. As for the volume: 20.2 A^3/atom. The symmetry is No. 47.

=====

No. 5
A plane-wave DFT calculation with GGA-PBE was carried out for RbMoHAu2 after structural relaxation.

Lattice parameters (Å, degrees): 5.2834 3.3771 5.2834 90.00 90.00 90.00
Site moments in Bohr magnetons follow the coordinates.
Positions (direct):
Rb  0.5000  0.5000  0.5000  0.01
Au  0.0000  0.0000  0.5000  0.00
H  0.0000  0.0000  0.0000  -0.01
Au  0.5000  0.0000  0.0000  0.02
Mo  0.0000  0.5000  0.0000  1.56

As for the volume: 18.9 A^3/atom. For the total energy, the calculation gives -3.757 eV/atom. The symmetry is No. 123.

=====

No. 6
A plane-wave DFT calculation with GGA-PBE was carried out for SiW5 after structural relaxation.

Lattice parameters (Å, degrees): 5.0885 5.0885 4.8024 90.00 90.00 120.00
Positions (direct):
Si  0.0000  0.0000  0.0000
W  0.5000  0.0000  0.5000
W  0.0000  0.5000  0.5000
W  0.3333  0.6667  0.0000
W  0.6667  0.3333  0.0000
W  0.5000  0.5000  0.5000

For the relative energy among the computed polymorphs, the calculation gives 795 meV per atom. As for the volume: 17.9 A^3/atom. The formation energy without anion corrections is 478 kJ/mol of formula units. The symmetry is No. 191.